# TlCu3Te4Pd | the Open Quantum Materials Database | PBE | optimized geometry
# - E (eV/f.u.) = -31.43
data_TlCu3Te4Pd
_symmetry_space_group_name_H-M 'P -4 3 m'
_symmetry_Int_Tables_number 215
_symmetry_space_group_name_Hall 'P -4 2 3'
_cell_length_a 6.3192
_cell_length_b 6.3192
_cell_length_c 6.3192
_cell_angle_alpha 90.00
_cell_angle_beta 90.00
_cell_angle_gamma 90.00
loop_
_atom_site_label
_atom_site_fract_x
_atom_site_fract_y
_atom_site_fract_z
_atom_site_occupancy
Tl1 0.0000 0.0000 0.0000 1
Cu1 0.0000 0.5000 0.5000 1
Te1 0.2625 0.2625 0.2625 1
Pd1 0.5000 0.5000 0.5000 1